A plane-wave DFT calculation with GGA-PBE was carried out for a relaxed structure of Li2CaIn2Sn2.

The magnetization comes out at 0.00 Bohr magnetons per cell. The value obtained for the calculated volume is 24.558 A^3/atom. The calculation puts the electronic total energy at -65.3 eV per cell.

The structure belongs to space group R-3m (No. 166, hexagonal axes); the cell edges are 4.7540, 4.7540 and 26.3495 Å and the angles 90.00°, 90.00° and 120.00°. The distinct sites, in fractional coordinates, are Li at (0.0000, 0.0000, 0.1462), Ca at (0.0000, 0.0000, 0.0000), In at (0.0000, 0.0000, 0.4439) and Sn at (0.0000, 0.0000, 0.2643).